# SCAN HPdI2N, single point on PBEsol structure
# * calculated total energy: -113.4 eV for the cell shown
# * DOS at the Fermi energy: 0.39 states/eV/atom
data_HPdI2N
_chemical_formula_sum 'H1 Pd1 I2 N1'
_cell_length_a 5.2951
_cell_length_b 5.2951
_cell_length_c 2.9222
_cell_angle_alpha 90.00
_cell_angle_beta 90.00
_cell_angle_gamma 90.00
_space_group_name_H-M_alt 'P 4/m m m'
_space_group_IT_number 123
_space_group_name_Hall '-P 4 2'
loop_
_atom_site_label
_atom_site_type_symbol
_atom_site_fract_x
_atom_site_fract_y
_atom_site_fract_z
H1 H 0.0000 0.0000 0.0000
Pd1 Pd 0.5000 0.5000 0.5000
I1 I 0.0000 0.5000 0.0000
N1 N 0.0000 0.0000 0.5000


# SCAN NdSi3N5, single point on PBEsol structure
# * ΔE_f (raw): -1.500 eV per atom
# * calculated total energy: -534.3 eV for the cell shown
# * DOS at the Fermi energy: 0.00 states/eV/atom
data_NdSi3N5
_chemical_formula_sum 'Nd4 Si12 N20'
_cell_length_a 4.7648
_cell_length_b 7.8212
_cell_length_c 11.1821
_cell_angle_alpha 90.00
_cell_angle_beta 90.00
_cell_angle_gamma 90.00
_space_group_name_H-M_alt 'P 21 21 21'
_space_group_IT_number 19
loop_
_space_group_symop_operation_xyz
'x,y,z'
'-x+1/2,-y,z+1/2'
'x+1/2,-y+1/2,-z'
'-x,y+1/2,-z+1/2'
loop_
_atom_site_label
_atom_site_type_symbol
_atom_site_fract_x
_atom_site_fract_y
_atom_site_fract_z
Nd1 Nd 0.0061 0.0620 0.1715
Si1 Si 0.0135 0.2921 0.5832
Si2 Si 0.0207 0.1609 0.8373
Si3 Si 0.0297 0.4666 0.0410
N1 N 0.0500 0.3424 0.9187
N2 N 0.1736 0.3880 0.1699
N3 N 0.1792 0.2065 0.7033
N4 N 0.1914 0.9793 0.9042
N5 N 0.2143 0.6471 0.9856


# SCAN YReCl2, single point on PBEsol structure
# * ΔE_f (raw): 0.067 eV per atom
# * calculated total energy: -458.5 eV for the cell shown
# * energy above the most stable polymorph in this dataset: 0.640 eV per atom
# * DOS at the Fermi energy: 0.25 states/eV/atom
data_YReCl2
_chemical_formula_sum 'Y4 Re4 Cl8'
_cell_length_a 6.6702
_cell_length_b 6.6702
_cell_length_c 6.6702
_cell_angle_alpha 90.00
_cell_angle_beta 90.00
_cell_angle_gamma 90.00
_space_group_name_H-M_alt 'F m -3 m'
_space_group_IT_number 225
_space_group_name_Hall '-F 4 2 3'
loop_
_atom_site_label
_atom_site_type_symbol
_atom_site_fract_x
_atom_site_fract_y
_atom_site_fract_z
Y1 Y 0.0000 0.0000 0.0000
Re1 Re 0.0000 0.0000 0.5000
Cl1 Cl 0.2500 0.2500 0.2500